# K3TlBi

A crystal of K3TlBi relaxed with PBEsol (meta-GGA SCAN, Alexandria).

The structure belongs to space group Pm-3m (No. 221); the cell edges are 6.300, 6.300 and 6.300 Å and the angles 90.00°, 90.00° and 90.00°. Symmetry generates all atoms from K at (0.000, 0.000, 0.500), Tl at (0.000, 0.000, 0.000) and Bi at (0.500, 0.500, 0.500).

The value obtained for the theoretical density is 3.5 g cm⁻³. The calculated volume comes out at 50.02 Å³/atom. As for the formation energy: 107 kJ/mol of formula units.